*w*
{"formula": "Ba2ClO2", "functional": "GGA-PBE", "state": "optimized geometry", "lattice_angstrom": [[8.032, 0.000, 0.000], [0.000, 8.032, 0.000], [0.000, 0.000, 3.659]], "species": ["Ba", "Ba", "Ba", "Ba", "O", "O", "O", "O", "Cl", "Cl"], "frac_coords": [[0.346, 0.846, 0.000], [0.154, 0.346, 0.000], [0.654, 0.154, 0.000], [0.846, 0.654, 0.000], [0.604, 0.896, 0.500], [0.104, 0.604, 0.500], [0.896, 0.396, 0.500], [0.396, 0.104, 0.500], [0.000, 0.000, 0.000], [0.500, 0.500, 0.000]], "sg": "P4/mbm, No. 127", "magmom_total_mub_per_fu": 1.0}



*x*
{"formula": "Ba2ClO2", "functional": "GGA-PBE", "state": "optimized geometry", "lattice_angstrom": [[4.486, 0.000, 0.000], [0.000, 7.469, -0.433], [-2.243, -2.488, 7.911]], "species": ["O", "O", "O", "O", "Ba", "Ba", "Ba", "Ba", "Cl", "Cl"], "frac_coords": [[0.941, 0.578, 0.383], [0.441, 0.078, 0.383], [0.059, 0.422, 0.617], [0.559, 0.922, 0.617], [0.894, 0.205, 0.288], [0.606, 0.295, 0.712], [0.106, 0.795, 0.712], [0.394, 0.705, 0.288], [0.750, 0.750, 0.000], [0.250, 0.250, 0.000]], "sg": "C2/m, No. 12", "magmom_total_mub_per_fu": 1.0}



Comparing the structures above, *x* comes out on top by 20.2 kJ/mol of atoms.